*1*
Below is a relaxed GaFePCl2 crystal, with properties calculated at the PBE level.

Space-group type ... No. 123

abc: 5.0287 5.0287 4.3369
angles: 90.00 90.00 90.00
Element x y z (fractional)
Ga 0.5000 0.5000 0.5000
P 0.0000 0.0000 0.5000
Cl 0.0000 0.5000 0.0000
Cl 0.5000 0.0000 0.0000
Fe 0.0000 0.0000 0.0000

***

*2*
Below is a relaxed GaFePCl2 crystal, with properties calculated at the PBE level.

Space-group type ... No. 123

abc: 4.6521 4.6521 4.9089
angles: 90.00 90.00 90.00
Element x y z (fractional)
Cl 0.5000 0.0000 0.0000
Cl 0.0000 0.5000 0.0000
Fe 0.5000 0.5000 0.5000
P 0.0000 0.0000 0.5000
Ga 0.0000 0.0000 0.0000

***

What is the stability order? It is *1*, *2*, from most stable to least stable.